[1]
The following is a GGA+U calculation of Sm2Mo3O12 after structural relaxation, from Alexandria.

Computed properties:
DOS at the Fermi energy (states/eV per cell): 0.00
Total magnetic moment (Bohr magnetons per cell): 0.00
Total energy (eV/cell): -512.5

```
data_Sm2Mo3O12
_cell_length_a 7.8140
_cell_length_b 11.7220
_cell_length_c 11.5861
_cell_angle_alpha 90.00
_cell_angle_beta 109.68
_cell_angle_gamma 90.00
_symmetry_space_group_name_H-M 'C 1 2/c 1'
_symmetry_Int_Tables_number 15
_symmetry_space_group_name_Hall '-C 2yc'
loop_
_atom_site_label
_atom_site_type_symbol
_atom_site_fract_x
_atom_site_fract_y
_atom_site_fract_z
Sm1 Sm 0.1761 0.1278 0.0922
Mo1 Mo 0.0000 0.1185 0.7500
Mo2 Mo 0.1541 0.3561 0.5486
O1 O 0.0107 0.0411 0.8898
O2 O 0.0760 0.3011 0.9626
O3 O 0.1123 0.2112 0.4258
O4 O 0.1398 0.4654 0.4415
O5 O 0.1952 0.2064 0.7823
O6 O 0.2225 0.4235 0.6971
```

[2]
The following is a GGA+U calculation of Sm3MoO6 after structural relaxation, from Alexandria.

Computed properties:
E above lowest polymorph (eV/f.u.): 0.000
DOS at the Fermi energy (states/eV per cell): 0.00
Total magnetic moment (Bohr magnetons per cell): 18.00

```
data_Sm3MoO6
_cell_length_a 9.8020
_cell_length_b 9.8020
_cell_length_c 11.2452
_cell_angle_alpha 90.00
_cell_angle_beta 90.00
_cell_angle_gamma 120.00
_symmetry_space_group_name_H-M 'R -3'
_symmetry_Int_Tables_number 148
_symmetry_space_group_name_Hall '-R 3'
loop_
_atom_site_label
_atom_site_type_symbol
_atom_site_fract_x
_atom_site_fract_y
_atom_site_fract_z
Sm1 Sm 0.0406 0.7744 0.2052
Mo1 Mo 0.0000 0.0000 0.0000
Mo2 Mo 0.0000 0.0000 0.5000
O1 O 0.0283 0.8175 0.4049
O2 O 0.0279 0.8428 0.8793
```

[3]
The following is a GGA+U calculation of Sm2MoO6 after structural relaxation, from Alexandria.

Computed properties:
DOS at the Fermi energy (states/eV per cell): 0.00
Total magnetic moment (Bohr magnetons per cell): 0.00
Total energy (eV/cell): -567.4

```
data_Sm2MoO6
_cell_length_a 16.7428
_cell_length_b 11.3913
_cell_length_c 5.5208
_cell_angle_alpha 90.00
_cell_angle_beta 108.01
_cell_angle_gamma 90.00
_symmetry_space_group_name_H-M 'C 1 2/c 1'
_symmetry_Int_Tables_number 15
_symmetry_space_group_name_Hall '-C 2yc'
loop_
_atom_site_label
_atom_site_type_symbol
_atom_site_fract_x
_atom_site_fract_y
_atom_site_fract_z
Sm1 Sm 0.0000 0.1085 0.2500
Sm2 Sm 0.0000 0.3660 0.7500
Sm3 Sm 0.1707 0.1158 0.8804
Mo1 Mo 0.1529 0.3559 0.4401
O1 O 0.0745 0.2372 0.5840
O2 O 0.0799 0.4662 0.4825
O3 O 0.0921 0.0166 0.0781
O4 O 0.1052 0.2791 0.1344
O5 O 0.2282 0.2979 0.7383
O6 O 0.2329 0.4450 0.3629
```

[4]
The following is a GGA+U calculation of Sm2MoO6 after structural relaxation, from Alexandria.

Computed properties:
DOS at the Fermi energy (states/eV per cell): 0.00
Total magnetic moment (Bohr magnetons per cell): 0.00
Total energy (eV/cell): -139.8

```
data_Sm2MoO6
_cell_length_a 5.0988
_cell_length_b 5.0988
_cell_length_c 10.2096
_cell_angle_alpha 90.00
_cell_angle_beta 90.00
_cell_angle_gamma 90.00
_symmetry_space_group_name_H-M 'P 42/m n m'
_symmetry_Int_Tables_number 136
_symmetry_space_group_name_Hall '-P 4n 2n'
loop_
_atom_site_label
_atom_site_type_symbol
_atom_site_fract_x
_atom_site_fract_y
_atom_site_fract_z
Sm1 Sm 0.0000 0.0000 0.1682
Mo1 Mo 0.0000 0.0000 0.5000
O1 O 0.1823 0.1823 0.3573
O2 O 0.2294 0.2294 0.0000
```